# 1
# PBE SiS2IBr, optimized geometry
data_SiS2IBr
_chemical_formula_sum 'Si1 S2 I1 Br1'
_cell_length_a 4.418
_cell_length_b 4.418
_cell_length_c 7.039
_cell_angle_alpha 90.00
_cell_angle_beta 90.00
_cell_angle_gamma 90.00
_space_group_name_H-M_alt 'P 4/m m m'
_space_group_IT_number 123
_space_group_name_Hall '-P 4 2'
loop_
_atom_site_label
_atom_site_fract_x
_atom_site_fract_y
_atom_site_fract_z
Si1 0.000 0.000 0.000
S1 0.000 0.500 0.000
I1 0.500 0.500 0.500
Br1 0.000 0.000 0.500
# ΔE_f (raw) = 0.297 eV/atom
# Crystal system = tetragonal
# DOS(E_F) = 0.661 states/eV/atom

***

# 2
# PBE TaSI2Br, optimized geometry
data_TaSI2Br
_chemical_formula_sum 'Ta1 S1 I2 Br1'
_cell_length_a 5.658
_cell_length_b 5.658
_cell_length_c 4.783
_cell_angle_alpha 90.00
_cell_angle_beta 90.00
_cell_angle_gamma 90.00
_space_group_name_H-M_alt 'P 4/m m m'
_space_group_IT_number 123
_space_group_name_Hall '-P 4 2'
loop_
_atom_site_label
_atom_site_fract_x
_atom_site_fract_y
_atom_site_fract_z
Ta1 0.000 0.000 0.000
S1 0.500 0.500 0.500
I1 0.000 0.500 0.500
Br1 0.500 0.500 0.000
# ΔE_f (raw) = 1.221 eV/atom
# Crystal system = tetragonal
# DOS(E_F) = 0.872 states/eV/atom

***

# 3
# PBE Te2SIBr, optimized geometry
data_Te2SIBr
_chemical_formula_sum 'Te2 S1 I1 Br1'
_cell_length_a 5.353
_cell_length_b 5.353
_cell_length_c 5.513
_cell_angle_alpha 90.00
_cell_angle_beta 90.00
_cell_angle_gamma 90.00
_space_group_name_H-M_alt 'P 4/m m m'
_space_group_IT_number 123
_space_group_name_Hall '-P 4 2'
loop_
_atom_site_label
_atom_site_fract_x
_atom_site_fract_y
_atom_site_fract_z
Te1 0.000 0.500 0.000
S1 0.000 0.000 0.000
I1 0.000 0.000 0.500
Br1 0.500 0.500 0.500
# ΔE_f (raw) = 0.508 eV/atom
# Crystal system = tetragonal
# ΔE to the lowest computed polymorph = 0 meV/atom
# DOS(E_F) = 1.118 states/eV/atom

***

# 4
# PBE Te2SIBr, optimized geometry
data_Te2SIBr
_chemical_formula_sum 'Te2 S1 I1 Br1'
_cell_length_a 5.748
_cell_length_b 5.748
_cell_length_c 5.887
_cell_angle_alpha 90.00
_cell_angle_beta 90.00
_cell_angle_gamma 90.00
_space_group_name_H-M_alt 'P 4/m m m'
_space_group_IT_number 123
_space_group_name_Hall '-P 4 2'
loop_
_atom_site_label
_atom_site_fract_x
_atom_site_fract_y
_atom_site_fract_z
Te1 0.000 0.500 0.000
S1 0.000 0.000 0.500
I1 0.500 0.500 0.500
Br1 0.500 0.500 0.000
# ΔE_f (raw) = 1.123 eV/atom
# Crystal system = tetragonal
# ΔE to the lowest computed polymorph = 615 meV/atom
# DOS(E_F) = 1.570 states/eV/atom

***

# 5
# PBE TeSI2Br, optimized geometry
data_TeSI2Br
_chemical_formula_sum 'Te1 S1 I2 Br1'
_cell_length_a 5.883
_cell_length_b 5.883
_cell_length_c 5.623
_cell_angle_alpha 90.00
_cell_angle_beta 90.00
_cell_angle_gamma 90.00
_space_group_name_H-M_alt 'P 4/m m m'
_space_group_IT_number 123
_space_group_name_Hall '-P 4 2'
loop_
_atom_site_label
_atom_site_fract_x
_atom_site_fract_y
_atom_site_fract_z
Te1 0.000 0.000 0.000
S1 0.500 0.500 0.000
I1 0.000 0.500 0.500
Br1 0.000 0.000 0.500
# ΔE_f (raw) = 1.033 eV/atom
# Crystal system = tetragonal
# ΔE to the lowest computed polymorph = 549 meV/atom
# DOS(E_F) = 1.416 states/eV/atom

***

# 6
# PBE TeSI2Br, optimized geometry
data_TeSI2Br
_chemical_formula_sum 'Te1 S1 I2 Br1'
_cell_length_a 5.447
_cell_length_b 5.447
_cell_length_c 5.503
_cell_angle_alpha 90.00
_cell_angle_beta 90.00
_cell_angle_gamma 90.00
_space_group_name_H-M_alt 'P 4/m m m'
_space_group_IT_number 123
_space_group_name_Hall '-P 4 2'
loop_
_atom_site_label
_atom_site_fract_x
_atom_site_fract_y
_atom_site_fract_z
Te1 0.000 0.000 0.000
S1 0.000 0.000 0.500
I1 0.000 0.500 0.500
Br1 0.500 0.500 0.000
# ΔE_f (raw) = 0.484 eV/atom
# Crystal system = tetragonal
# ΔE to the lowest computed polymorph = 0 meV/atom
# DOS(E_F) = 1.455 states/eV/atom

***

# 7
# PBE Tl5SI2Br, optimized geometry
data_Tl5SI2Br
_chemical_formula_sum 'Tl20 S4 I8 Br4'
_cell_length_a 4.623
_cell_length_b 20.678
_cell_length_c 14.733
_cell_angle_alpha 90.00
_cell_angle_beta 90.00
_cell_angle_gamma 90.00
_space_group_name_H-M_alt 'C m c 21'
_space_group_IT_number 36
loop_
_space_group_symop_operation_xyz
'x,y,z'
'-x,-y,z+1/2'
'-x,y,z'
'x,-y,z+1/2'
'x+1/2,y+1/2,z'
'-x+1/2,-y+1/2,z+1/2'
'-x+1/2,y+1/2,z'
'x+1/2,-y+1/2,z+1/2'
loop_
_atom_site_label
_atom_site_fract_x
_atom_site_fract_y
_atom_site_fract_z
Tl1 0.000 0.008 0.000
Tl2 0.000 0.135 0.252
Tl3 0.000 0.200 0.637
Tl4 0.000 0.229 0.909
Tl5 0.000 0.414 0.325
S1 0.000 0.280 0.271
I1 0.000 0.369 0.571
I2 0.000 0.391 0.939
Br1 0.000 0.041 0.696
# ΔE_f (raw) = -0.564 eV/atom
# Crystal system = orthorhombic

***

# 8
# PBE WSI2Br, optimized geometry
data_WSI2Br
_chemical_formula_sum 'W1 S1 I2 Br1'
_cell_length_a 5.522
_cell_length_b 5.522
_cell_length_c 5.079
_cell_angle_alpha 90.00
_cell_angle_beta 90.00
_cell_angle_gamma 90.00
_space_group_name_H-M_alt 'P 4/m m m'
_space_group_IT_number 123
_space_group_name_Hall '-P 4 2'
loop_
_atom_site_label
_atom_site_fract_x
_atom_site_fract_y
_atom_site_fract_z
W1 0.000 0.000 0.000
S1 0.500 0.500 0.500
I1 0.000 0.500 0.500
Br1 0.500 0.500 0.000
# ΔE_f (raw) = 1.413 eV/atom
# Crystal system = tetragonal
# ΔE to the lowest computed polymorph = 1158 meV/atom
# DOS(E_F) = 0.804 states/eV/atom

***

Question: The lowest ΔE_f (raw) belongs to which entry?
Answer: Tl5SI2Br

***

Question: Among the records above, which one has the highest ΔE_f (raw)?
Answer: WSI2Br